The following is a PBE-GGA calculation of TmThRh after structural relaxation, from the Alexandria database.

extended XYZ file:
```
3
Lattice="-1.789 1.789 5.747 1.789 -1.789 5.747 1.789 1.789 -5.747" Properties=species:S:1:pos:R:3 pbc="T T T"
Tm 0.000 0.000 0.000
Th 0.000 0.000 8.201
Rh 0.000 0.000 3.982
```

Output
formation enthalpy at 0 K = -0.51 eV/atom
space group = I4mm, No. 107
magnetic moment = 0.005 Bohr magnetons per cell
DOS(E_F) = 4.53 states/eV per cell

=====

The following is a PBE-GGA calculation of Rb2NiHgI6 after structural relaxation, from the Alexandria database.

extended XYZ file:
```
10
Lattice="-4.101 4.101 5.820 4.101 -4.101 5.820 4.101 4.101 -5.820" Properties=species:S:1:pos:R:3 pbc="T T T"
Rb 4.101 0.000 2.910
Rb 0.000 4.101 2.910
Ni 0.000 0.000 0.000
Hg 0.000 0.000 5.820
I 0.000 0.000 2.672
I 1.908 1.908 0.000
I 2.193 -2.193 5.820
I -2.193 2.193 5.820
I 2.193 2.193 5.820
I 0.000 0.000 8.968
```

Output
formation energy without anion corrections = -0.644 eV/atom
space group = I4/mmm, No. 139
magnetic moment = 0.000 Bohr magnetons per cell
DOS(E_F) = 0.20 states/eV per cell

=====

The following is a PBE-GGA calculation of MgTl2Re after structural relaxation, from the Alexandria database.

extended XYZ file:
```
4
Lattice="-2.159 2.159 4.315 2.159 -2.159 4.315 2.159 2.159 -4.315" Properties=species:S:1:pos:R:3 pbc="T T T"
Mg 0.000 0.000 0.000
Tl 2.159 0.000 2.158
Tl 0.000 2.159 2.158
Re 0.000 0.000 4.315
```

Output
formation enthalpy at 0 K = 0.73 eV/atom
space group = I4/mmm, No. 139
magnetic moment = 0.759 Bohr magnetons per cell
DOS(E_F) = 1.57 states/eV per cell

=====

- Which value of magnetic moment does entry 2 give?
  0.000 Bohr magnetons per cell

=====

- The highest DOS(E_F) belongs to which entry?
  TmThRh

=====

- Which value of DOS(E_F) does entry 3 give?
  1.57 states/eV per cell